This record from the Alexandria database describes a relaxed structure of In4ReRu. The functional is PBE.

Lattice parameters (Å, degrees): 5.567 5.567 5.567 60.00 60.00 60.00
Positions (direct):
In (0.125, 0.125, 0.125)
In (0.125, 0.125, 0.625)
In (0.125, 0.625, 0.125)
In (0.625, 0.125, 0.125)
Re (0.750, 0.750, 0.750)
Ru (0.500, 0.500, 0.500)

Summary:
As for the theoretical density: 10.2 g/cm³. The value obtained for the energy of formation from the pure elements is 1.1862 eV/atom. The calculation puts the density of states at the Fermi level at 1.079 states/eV/atom. The value obtained for the total energy is -0.1566 Ha/atom.